# 1
La2Tb4H: relaxed, PBE.

Its total energy is -4.47 eV per atom.

The space group is I4/mmm (No. 139) and the conventional cell measures 4.9015, 4.9015 and 17.6147 Å, with angles of 90.00, 90.00 and 90.00 degrees. The distinct sites, in fractional coordinates, are La at (0.0000, 0.0000, 0.1571), Tb at (0.0000, 0.0000, 0.3593), Tb at (0.0000, 0.5000, 0.0000) and H at (0.0000, 0.0000, 0.0000).

# 2
La2TbH8: relaxed, PBE.

Its total energy is -4.37 eV per atom.

The space group is Immm (No. 71) and the conventional cell measures 3.8911, 5.3176 and 11.6690 Å, with angles of 90.00, 90.00 and 90.00 degrees. The distinct sites, in fractional coordinates, are La at (0.0000, 0.0000, 0.1690), Tb at (0.0000, 0.0000, 0.5000), H at (0.0000, 0.2512, 0.3476), H at (0.0000, 0.2550, 0.0000) and H at (0.0000, 0.5000, 0.1716).

# 3
La3Tb5H12: relaxed, PBE.

Its total energy is -4.38 eV per atom.

The space group is Ia-3d (No. 230) and the conventional cell measures 13.4924, 13.4924 and 13.4924 Å, with angles of 90.00, 90.00 and 90.00 degrees. The distinct sites, in fractional coordinates, are La at (0.0000, 0.2500, 0.1250), Tb at (0.0000, 0.0000, 0.0000), Tb at (0.0000, 0.2500, 0.3750) and H at (0.0095, 0.0672, 0.6519).